[1]
An optimized crystal structure of NbPOsRuSeS, computed with PBE.

Geometry as CIF:
```
data_NbPOsRuSeS
_cell_length_a 4.332
_cell_length_b 4.628
_cell_length_c 5.514
_cell_angle_alpha 104.42
_cell_angle_beta 102.32
_cell_angle_gamma 100.75
_symmetry_space_group_name_H-M 'P 1'
_symmetry_Int_Tables_number 1
loop_
_symmetry_equiv_pos_as_xyz
'x,y,z'
loop_
_atom_site_label
_atom_site_fract_x
_atom_site_fract_y
_atom_site_fract_z
_atom_site_occupancy
Nb1 0.000 0.000 0.000 1
P1 0.141 0.573 0.164 1
Os1 0.455 0.437 0.483 1
Ru1 0.567 0.405 0.979 1
Se1 0.899 0.140 0.489 1
S1 0.422 0.831 0.816 1
```

Crystal system: triclinic
E_form (uncorrected) in eV per atom: -0.17
Energy above the lowest structure with this stoichiometry in meV/atom: 247.9
V in Å³/atom: 16.86
N(E_F) in states/eV per cell: 3.9



[2]
An optimized crystal structure of Zr2Sn2Os, computed with PBE.

Geometry as CIF:
```
data_Zr2Sn2Os
_cell_length_a 6.899
_cell_length_b 6.899
_cell_length_c 4.426
_cell_angle_alpha 90.00
_cell_angle_beta 90.00
_cell_angle_gamma 90.00
_symmetry_space_group_name_H-M 'P 4/m b m'
_symmetry_Int_Tables_number 127
_symmetry_space_group_name_Hall '-P 4 2ab'
loop_
_atom_site_label
_atom_site_fract_x
_atom_site_fract_y
_atom_site_fract_z
_atom_site_occupancy
Zr1 0.168 0.332 0.000 1
Sn1 0.144 0.644 0.500 1
Os1 0.000 0.000 0.500 1
```

DFT formation energy in eV/atom: -0.198
Crystal system: tetragonal
Energy above the lowest structure with this stoichiometry in meV/atom: 0.0
V in Å³/atom: 21.06
N(E_F) in states/eV per cell: 5.1



[3]
An optimized crystal structure of NbAsIr2, computed with PBE.

Geometry as CIF:
```
data_NbAsIr2
_cell_length_a 5.667
_cell_length_b 5.667
_cell_length_c 11.193
_cell_angle_alpha 90.00
_cell_angle_beta 90.00
_cell_angle_gamma 90.00
_symmetry_space_group_name_H-M 'I -4 2 d'
_symmetry_Int_Tables_number 122
_symmetry_space_group_name_Hall 'I -4 2bw'
loop_
_atom_site_label
_atom_site_fract_x
_atom_site_fract_y
_atom_site_fract_z
_atom_site_occupancy
Nb1 0.000 0.000 0.000 1
As1 0.000 0.000 0.500 1
Ir1 0.230 0.250 0.625 1
```

DFT formation energy in eV/atom: 0.189
Crystal system: tetragonal
V in Å³/atom: 22.47
N(E_F) in states/eV per cell: 5.5



[4]
An optimized crystal structure of CaMoP, computed with PBE.

Geometry as CIF:
```
data_CaMoP
_cell_length_a 6.708
_cell_length_b 6.708
_cell_length_c 6.708
_cell_angle_alpha 90.00
_cell_angle_beta 90.00
_cell_angle_gamma 90.00
_symmetry_space_group_name_H-M 'F -4 3 m'
_symmetry_Int_Tables_number 216
_symmetry_space_group_name_Hall 'F -4 2 3'
loop_
_atom_site_label
_atom_site_fract_x
_atom_site_fract_y
_atom_site_fract_z
_atom_site_occupancy
Ca1 0.000 0.000 0.000 1
Mo1 0.250 0.250 0.250 1
P1 0.250 0.250 0.750 1
```

DFT formation energy in eV/atom: 1.105
Crystal system: cubic
Energy above the lowest structure with this stoichiometry in meV/atom: 1701.3
V in Å³/atom: 25.16
N(E_F) in states/eV per cell: 6.4